Record 1
Density functional theory data (GGA-PBE) for a relaxed structure of InFeI5.

## Properties
Energy   -2.981 eV per atom
Uncorrected formation energy   -0.27 eV per atom

Cell: 7.993 7.993 11.329 Å, 111.03 111.03 88.58°
Fractional positions:
1 In 0.000 0.000 0.000
2 In 0.000 0.000 0.500
3 Fe 0.381 0.619 0.750
4 Fe 0.619 0.381 0.250
5 I 0.087 0.913 0.250
6 I 0.243 0.711 0.542
7 I 0.270 0.342 0.164
8 I 0.289 0.757 0.958
9 I 0.342 0.270 0.664
10 I 0.658 0.730 0.336
11 I 0.711 0.243 0.042
12 I 0.730 0.658 0.836
13 I 0.757 0.289 0.458
14 I 0.913 0.087 0.750



Record 2
Density functional theory data (GGA-PBE) for a relaxed structure of Er5Mg4Ag.

## Properties
Energy   -3.320 eV per atom

Cell: 3.728 3.728 18.643 Å, 90.00 90.00 90.00°
Fractional positions:
1 Er 0.000 0.000 0.000
2 Er 0.000 0.000 0.205
3 Er 0.000 0.000 0.407
4 Er 0.000 0.000 0.593
5 Er 0.000 0.000 0.795
6 Mg 0.500 0.500 0.102
7 Mg 0.500 0.500 0.304
8 Mg 0.500 0.500 0.696
9 Mg 0.500 0.500 0.898
10 Ag 0.500 0.500 0.500



Record 3
Density functional theory data (GGA-PBE) for a relaxed structure of Na3Ac2ScSe6.

## Properties
Energy   -4.933 eV per atom
Uncorrected formation energy   -1.65 eV per atom

Cell: 7.525 7.525 7.442 Å, 99.72 99.72 120.05°
Fractional positions:
1 Na 0.000 0.000 0.000
2 Na 0.337 0.663 0.000
3 Na 0.663 0.337 0.000
4 Ac 0.167 0.833 0.500
5 Ac 0.833 0.167 0.500
6 Sc 0.500 0.500 0.500
7 Se 0.118 0.421 0.264
8 Se 0.274 0.274 0.729
9 Se 0.421 0.118 0.264
10 Se 0.579 0.882 0.736
11 Se 0.726 0.726 0.271
12 Se 0.882 0.579 0.736



Record 4
Density functional theory data (GGA-PBE) for a relaxed structure of Cs3Pr3UTe8.

## Properties
Energy   -4.814 eV per atom
Uncorrected formation energy   -1.26 eV per atom

Cell: 9.245 9.245 10.579 Å, 115.97 115.97 59.94°
Fractional positions:
1 Cs 0.000 0.000 0.000
2 Cs 0.000 0.500 0.000
3 Cs 0.500 0.000 0.000
4 Pr 0.000 0.500 0.500
5 Pr 0.500 0.000 0.500
6 Pr 0.500 0.500 0.500
7 U 0.000 0.000 0.500
8 Te 0.224 0.224 0.689
9 Te 0.224 0.741 0.689
10 Te 0.259 0.776 0.311
11 Te 0.268 0.268 0.303
12 Te 0.732 0.732 0.697
13 Te 0.741 0.224 0.689
14 Te 0.776 0.259 0.311
15 Te 0.776 0.776 0.311



Record 5
Density functional theory data (GGA-PBE) for a relaxed structure of TlMoP.

## Properties
Energy above the lowest structure with this stoichiometry   1.96 eV per formula unit
Energy   -5.457 eV per atom

Cell: 6.158 6.158 6.158 Å, 90.00 90.00 90.00°
Fractional positions:
1 Tl 0.000 0.000 0.000
2 Tl 0.000 0.500 0.500
3 Tl 0.500 0.000 0.500
4 Tl 0.500 0.500 0.000
5 Mo 0.000 0.000 0.500
6 Mo 0.000 0.500 0.000
7 Mo 0.500 0.000 0.000
8 Mo 0.500 0.500 0.500
9 P 0.250 0.250 0.750
10 P 0.250 0.750 0.250
11 P 0.750 0.250 0.250
12 P 0.750 0.750 0.750



Record 6
Density functional theory data (GGA-PBE) for a relaxed structure of Tl2VGa.

## Properties
Energy above the lowest structure with this stoichiometry   0.00 eV per formula unit
Energy   -3.713 eV per atom

Cell: 7.144 7.144 7.144 Å, 90.00 90.00 90.00°
Fractional positions:
1 Tl 0.250 0.250 0.250
2 Tl 0.250 0.250 0.750
3 Tl 0.250 0.750 0.250
4 Tl 0.250 0.750 0.750
5 Tl 0.750 0.250 0.250
6 Tl 0.750 0.250 0.750
7 Tl 0.750 0.750 0.250
8 Tl 0.750 0.750 0.750
9 V 0.000 0.000 0.000
10 V 0.000 0.500 0.500
11 V 0.500 0.000 0.500
12 V 0.500 0.500 0.000
13 Ga 0.000 0.000 0.500
14 Ga 0.000 0.500 0.000
15 Ga 0.500 0.000 0.000
16 Ga 0.500 0.500 0.500



Record 7
Density functional theory data (GGA-PBE) for a relaxed structure of Mg3HgBi.

## Properties
Energy above the lowest structure with this stoichiometry   0.24 eV per formula unit
Energy   -1.898 eV per atom

Cell: 10.646 10.646 4.949 Å, 103.36 103.36 93.91°
Fractional positions:
1 Mg 0.030 0.196 0.369
2 Mg 0.136 0.631 0.135
3 Mg 0.196 0.030 0.869
4 Mg 0.275 0.479 0.630
5 Mg 0.369 0.864 0.365
6 Mg 0.479 0.275 0.130
7 Mg 0.521 0.725 0.870
8 Mg 0.631 0.136 0.635
9 Mg 0.725 0.521 0.370
10 Mg 0.804 0.970 0.131
11 Mg 0.864 0.369 0.865
12 Mg 0.970 0.804 0.631
13 Hg 0.241 0.759 0.750
14 Hg 0.432 0.568 0.250
15 Hg 0.568 0.432 0.750
16 Hg 0.759 0.241 0.250
17 Bi 0.145 0.335 0.997
18 Bi 0.335 0.145 0.497
19 Bi 0.665 0.855 0.503
20 Bi 0.855 0.665 0.003



Record 8
Density functional theory data (GGA-PBE) for a relaxed structure of KTbTl2F6.

## Properties
Energy   -5.102 eV per atom
Uncorrected formation energy   -2.93 eV per atom

Cell: 6.515 6.776 11.354 Å, 90.00 124.47 90.00°
Fractional positions:
1 K 0.000 0.000 0.000
2 K 0.000 0.500 0.500
3 Tb 0.500 0.000 0.500
4 Tb 0.500 0.500 0.000
5 Tl 0.235 0.040 0.746
6 Tl 0.235 0.460 0.246
7 Tl 0.765 0.540 0.754
8 Tl 0.765 0.960 0.254
9 F 0.177 0.173 0.458
10 F 0.177 0.327 0.958
11 F 0.270 0.730 0.439
12 F 0.270 0.770 0.939
13 F 0.378 0.046 0.276
14 F 0.378 0.454 0.776
15 F 0.622 0.546 0.224
16 F 0.622 0.954 0.724
17 F 0.730 0.230 0.061
18 F 0.730 0.270 0.561
19 F 0.823 0.673 0.042
20 F 0.823 0.827 0.542



Record 9
Density functional theory data (GGA-PBE) for a relaxed structure of Sc3MnTl.

## Properties
Energy   -5.982 eV per atom

Cell: 4.858 4.858 4.858 Å, 90.00 90.00 90.00°
Fractional positions:
1 Sc 0.000 0.000 0.500
2 Sc 0.000 0.500 0.000
3 Sc 0.500 0.000 0.000
4 Mn 0.000 0.000 0.000
5 Tl 0.500 0.500 0.500



Record 10
Density functional theory data (GGA-PBE) for a relaxed structure of BaP2.

## Properties
Energy   -4.895 eV per atom

Cell: 11.700 4.181 7.016 Å, 90.00 95.34 90.00°
Fractional positions:
1 Ba 0.000 0.000 0.000
2 Ba 0.221 0.500 0.522
3 Ba 0.500 0.500 0.000
4 Ba 0.721 0.000 0.522
5 P 0.233 0.500 0.026
6 P 0.264 0.000 0.177
7 P 0.432 0.000 0.637
8 P 0.441 0.000 0.337
9 P 0.733 0.000 0.026
10 P 0.764 0.500 0.177
11 P 0.932 0.500 0.637
12 P 0.941 0.500 0.337



Record 11
Density functional theory data (GGA-PBE) for a relaxed structure of Cd4BiPb.

## Properties
Energy above the lowest structure with this stoichiometry   0.00 eV per formula unit
Energy   -1.803 eV per atom

Cell: 6.046 6.046 6.046 Å, 60.00 60.00 60.00°
Fractional positions:
1 Cd 0.125 0.125 0.125
2 Cd 0.125 0.125 0.625
3 Cd 0.125 0.625 0.125
4 Cd 0.625 0.125 0.125
5 Bi 0.750 0.750 0.750
6 Pb 0.500 0.500 0.500



Record 12
Density functional theory data (GGA-PBE) for a relaxed structure of FeH2Rh.

## Properties
Energy   -5.168 eV per atom

Cell: 5.127 5.127 5.127 Å, 90.00 90.00 90.00°
Fractional positions:
1 Fe 0.000 0.000 0.000
2 Fe 0.000 0.500 0.500
3 Fe 0.500 0.000 0.500
4 Fe 0.500 0.500 0.000
5 H 0.250 0.250 0.250
6 H 0.250 0.250 0.750
7 H 0.250 0.750 0.250
8 H 0.250 0.750 0.750
9 H 0.750 0.250 0.250
10 H 0.750 0.250 0.750
11 H 0.750 0.750 0.250
12 H 0.750 0.750 0.750
13 Rh 0.000 0.000 0.500
14 Rh 0.000 0.500 0.000
15 Rh 0.500 0.000 0.000
16 Rh 0.500 0.500 0.500



Which of these has the highest energy?
Cd4BiPb



What is the energy in the eighth record?
-5.102 eV per atom



Copy entry 11 word for word.
Density functional theory data (GGA-PBE) for a relaxed structure of Cd4BiPb.

## Properties
Energy above the lowest structure with this stoichiometry   0.00 eV per formula unit
Energy   -1.803 eV per atom

Cell: 6.046 6.046 6.046 Å, 60.00 60.00 60.00°
Fractional positions:
1 Cd 0.125 0.125 0.125
2 Cd 0.125 0.125 0.625
3 Cd 0.125 0.625 0.125
4 Cd 0.625 0.125 0.125
5 Bi 0.750 0.750 0.750
6 Pb 0.500 0.500 0.500



What is the formula in the sixth record?
Tl2VGa